The following is a DFT calculation (PBE with a Hubbard U) of Li3Mn3O5F3 after structural relaxation.

a = 5.8237 Å, b = 5.9092 Å, c = 5.9866 Å
α = 92.60°, β = 119.03°, γ = 116.93°
Closest atoms and distances in Å follow each position.
Space group P1 (No. 1)
Unique sites:
1 Li 0.0000 0.0000 0.0000 [1 per cell]  2 F 1.87-2.07, 2 O 1.98-2.05
2 Li 0.2245 0.5880 0.8783 [1 per cell]  3 F 1.98-2.19, 3 O 2.08-2.12
3 Li 0.4800 0.1950 0.7573 [1 per cell]  1 F 1.86, 2 O 2.00-2.05
4 Mn 0.2359 0.5955 0.3839 [1 per cell]  4 O 1.91-2.02
5 Mn 0.7362 0.0998 0.3893 [1 per cell]  3 O 1.91-1.97, 1 F 2.02
6 Mn 0.7358 0.5833 0.3960 [1 per cell]  5 O 1.88-1.98
7 O 0.1828 0.7950 0.5952 [1 per cell]  2 Mn 1.91, 2 Li 2.00-2.12
8 O 0.2898 0.3976 0.1706 [1 per cell]  2 Mn 1.91-1.92, 2 Li 1.98-2.10
9 O 0.7035 0.8407 0.5851 [1 per cell]  3 Mn 1.97-2.01, 1 Li 2.05
10 O 0.7413 0.3543 0.6033 [1 per cell]  2 Mn 1.88-1.91, 2 Li 2.05-2.08
11 O 0.7683 0.3484 0.1857 [1 per cell]  3 Mn 1.95-2.02, 1 Li 2.11
12 F 0.2332 0.8415 0.1159 [1 per cell]  2 Li 1.87-1.98
13 F 0.2421 0.3471 0.6483 [1 per cell]  2 Li 1.86-2.01
14 F 0.7348 0.8428 0.1545 [1 per cell]  2 Mn 2.02-2.15, 2 Li 2.07-2.19

The calculated total energy comes out at -87.25 eV/f.u. For the total magnetic moment, the calculation gives 11.0 μB per cell.